Material: ScIn2Mo
Method: DFT, PBEsol
State: relaxed

abc: 3.015 4.871 5.226
angles: 90.00 92.65 90.00
Element x y z (fractional)
In 0.882 0.000 0.967
In 0.856 0.500 0.285
Mo 0.434 0.000 0.479
Sc 0.328 0.500 0.769

Output
Space-group type: Pm (6)
Calculated formation energy (meV/atom): 31
E above lowest polymorph (meV per atom): 131
Volume (Å³/cell): 76.7


Material: Er3Co2Si3
Method: DFT, PBEsol
State: relaxed

abc: 4.023 5.481 13.284
angles: 90.00 90.00 111.53
Element x y z (fractional)
Er 0.362 0.725 0.250
Er 0.638 0.275 0.750
Er 0.081 0.162 0.388
Er 0.919 0.838 0.612
Er 0.919 0.838 0.888
Er 0.081 0.162 0.112
Co 0.215 0.429 0.920
Co 0.785 0.571 0.080
Co 0.785 0.571 0.420
Co 0.215 0.429 0.580
Si 0.669 0.338 0.250
Si 0.331 0.662 0.750
Si 0.382 0.763 0.460
Si 0.618 0.237 0.540
Si 0.618 0.237 0.960
Si 0.382 0.763 0.040

Output
Space-group type: Cmcm (63)
Energy relative to the elements, uncorrected (eV per formula unit): -6.62
Volume (Å³/cell): 272.5


Material: MgCd2Ag
Method: DFT, PBEsol
State: relaxed

abc: 4.215 4.215 5.224
angles: 113.79 113.79 90.00
Element x y z (fractional)
Mg 0.500 0.500 0.000
Ag 0.000 0.000 0.000
Cd 0.750 0.250 0.500
Cd 0.250 0.750 0.500

Output
Space-group type: I4/mmm (139)
Calculated formation energy (meV/atom): -118
E above lowest polymorph (meV per atom): 0
Volume (Å³/cell): 76.2


Material: SrSiAs2Br
Method: DFT, PBEsol
State: relaxed

abc: 4.732 4.732 5.557
angles: 90.00 90.00 90.00
Element x y z (fractional)
Sr 0.500 0.500 0.500
As 0.000 0.500 0.000
As 0.500 0.000 0.000
Si 0.000 0.000 0.000
Br 0.000 0.000 0.500

Output
Space-group type: P4/mmm (123)
Energy relative to the elements, uncorrected (eV per formula unit): -1.94
Volume (Å³/cell): 124.5